NpNiSnO6: relaxed, PBE with a Hubbard U.

Cell and atoms, written as POSCAR:
```
NpNiSnO6
1.0
-4.273 1.117 2.814
-0.140 -3.837 -3.561
2.676 -6.129 6.498
Np Ni Sn O
2 2 2 12
direct
0.667 0.333 0.250
0.333 0.667 0.750
0.333 0.667 0.250
0.667 0.333 0.750
0.000 0.000 0.000
0.000 0.000 0.500
0.669 0.667 0.128
0.998 0.331 0.128
0.331 0.998 0.628
0.002 0.669 0.872
0.333 0.331 0.372
0.998 0.667 0.372
0.667 0.998 0.872
0.669 0.002 0.372
0.002 0.333 0.628
0.333 0.002 0.128
0.667 0.669 0.628
0.331 0.333 0.872
```

Values from the calculation:
DOS at the Fermi energy = 0.095 states/eV per atom
uncorrected energy = -7.423 eV per atom